# 1
# PBE-GGA AlAgMo2, optimized geometry
# Symmetry: F-43m
# Electronic total energy (eV per atom): -6.81
# Calculated volume (Å³/cell): 64.2
data_AlAgMo2
_cell_length_a 4.495
_cell_length_b 4.495
_cell_length_c 4.495
_cell_angle_alpha 60.00
_cell_angle_beta 60.00
_cell_angle_gamma 60.00
_space_group_name_H-M_alt 'P 1'
_space_group_IT_number 1
loop_
_space_group_symop_operation_xyz
'x,y,z'
loop_
_atom_site_label
_atom_site_fract_x
_atom_site_fract_y
_atom_site_fract_z
_atom_site_occupancy
Mo1 0.250 0.250 0.250 1
Al1 0.750 0.750 0.750 1
Ag1 0.500 0.500 0.500 1
Mo2 0.000 0.000 0.000 1

---

# 2
# PBE-GGA ErMgSnPb, optimized geometry
# Symmetry: Pmmm
# Energy relative to the lowest polymorph listed for this composition (eV per atom): 0.000
# Calculated volume (Å³/cell): 101.8
data_ErMgSnPb
_cell_length_a 4.381
_cell_length_b 4.867
_cell_length_c 4.777
_cell_angle_alpha 90.00
_cell_angle_beta 90.00
_cell_angle_gamma 90.00
_space_group_name_H-M_alt 'P 1'
_space_group_IT_number 1
loop_
_space_group_symop_operation_xyz
'x,y,z'
loop_
_atom_site_label
_atom_site_fract_x
_atom_site_fract_y
_atom_site_fract_z
_atom_site_occupancy
Mg1 0.500 0.500 0.000 1
Er1 0.500 0.000 0.500 1
Sn1 0.000 0.000 0.000 1
Pb1 0.000 0.500 0.500 1

---

# 3
# PBE-GGA SnSb2Se2, optimized geometry
# Symmetry: P4/mbm
# Energy relative to the lowest polymorph listed for this composition (eV per atom): 0.000
# E_form (uncorrected) (meV/atom): -14
# Calculated volume (Å³/cell): 292.6
data_SnSb2Se2
_cell_length_a 8.831
_cell_length_b 8.831
_cell_length_c 3.752
_cell_angle_alpha 90.00
_cell_angle_beta 90.00
_cell_angle_gamma 90.00
_space_group_name_H-M_alt 'P 1'
_space_group_IT_number 1
loop_
_space_group_symop_operation_xyz
'x,y,z'
loop_
_atom_site_label
_atom_site_fract_x
_atom_site_fract_y
_atom_site_fract_z
_atom_site_occupancy
Sn1 0.500 0.500 0.000 1
Sb1 0.213 0.287 0.000 1
Sb2 0.287 0.787 0.000 1
Sb3 0.787 0.713 0.000 1
Se1 0.864 0.364 0.500 1
Sn2 0.000 0.000 0.000 1
Se2 0.364 0.136 0.500 1
Se3 0.636 0.864 0.500 1
Se4 0.136 0.636 0.500 1
Sb4 0.713 0.213 0.000 1

---

# 4
# PBE-GGA Nd8MgCd2, optimized geometry
# Symmetry: C2/m
# Energy relative to the lowest polymorph listed for this composition (eV per atom): 0.046
# Calculated volume (Å³/cell): 355.2
data_Nd8MgCd2
_cell_length_a 5.356
_cell_length_b 7.547
_cell_length_c 9.603
_cell_angle_alpha 106.94
_cell_angle_beta 106.19
_cell_angle_gamma 90.00
_space_group_name_H-M_alt 'P 1'
_space_group_IT_number 1
loop_
_space_group_symop_operation_xyz
'x,y,z'
loop_
_atom_site_label
_atom_site_fract_x
_atom_site_fract_y
_atom_site_fract_z
_atom_site_occupancy
Nd1 0.974 0.245 0.948 1
Cd1 0.810 0.305 0.620 1
Nd2 0.332 0.046 0.664 1
Nd3 0.592 0.464 0.183 1
Nd4 0.187 0.277 0.373 1
Mg1 0.500 0.000 0.000 1
Cd2 0.190 0.695 0.380 1
Nd5 0.668 0.954 0.336 1
Nd6 0.813 0.723 0.627 1
Nd7 0.026 0.755 0.052 1
Nd8 0.408 0.536 0.817 1